## Sc2PaC2 (PBE-GGA)

Data for a relaxed Sc2PaC2 crystal.

Values from the calculation:
As for the calculated formation energy: -0.258 eV per atom. For the volume, the calculation gives 15.9 Å³/atom.

abc: 5.501 5.501 9.202
angles: 90.00 90.00 145.09
Atoms (fractional coordinates):
1 Sc 0.131 0.869 0.586
2 Sc 0.131 0.869 0.914
3 Sc 0.869 0.131 0.086
4 Sc 0.869 0.131 0.414
5 Pa 0.407 0.593 0.750
6 Pa 0.593 0.407 0.250
7 C 0.264 0.736 0.250
8 C 0.500 0.500 0.000
9 C 0.500 0.500 0.500
10 C 0.736 0.264 0.750


## ScPaC2 (PBE-GGA)

Data for a relaxed ScPaC2 crystal.

Values from the calculation:
As for the calculated formation energy: -0.442 eV per atom. For the volume, the calculation gives 15.1 Å³/atom. Its offset from the most stable computed form is 0.0 meV per atom.

abc: 5.938 5.938 5.938
angles: 34.67 34.67 34.67
Atoms (fractional coordinates):
1 Sc 0.000 0.000 0.000
2 Pa 0.500 0.500 0.500
3 C 0.248 0.248 0.248
4 C 0.752 0.752 0.752


## ScPaCSe2 (PBE-GGA)

Data for a relaxed ScPaCSe2 crystal.

Values from the calculation:
For the volume, the calculation gives 21.1 Å³/atom. As for the uncorrected formation energy: -1.19 eV per atom.

abc: 3.900 3.900 13.868
angles: 90.00 90.00 90.00
Atoms (fractional coordinates):
1 Sc 0.250 0.250 0.111
2 Sc 0.750 0.750 0.889
3 Pa 0.250 0.250 0.588
4 Pa 0.750 0.750 0.412
5 C 0.250 0.750 0.500
6 C 0.750 0.250 0.500
7 Se 0.250 0.250 0.297
8 Se 0.250 0.250 0.907
9 Se 0.750 0.750 0.093
10 Se 0.750 0.750 0.703